Record 1
Density functional theory data (GGA-PBE) for MnSe3Cl after structural relaxation.

The value obtained for the energy is -3.4037 eV per atom. Its energy relative to the elements, uncorrected is 890 meV/atom. Its energy above the most stable polymorph in this dataset is 569.8 meV/atom.

Cell lengths 4.9769, 4.9769, 4.9769 Å; angles 90.00, 90.00, 90.00 degrees
Last column: magnetic moment on the atom in μB.
Sites, in units of the cell vectors:
1 Mn 0.5000 0.5000 0.5000  4.47
2 Se 0.0000 0.5000 0.0000  0.00
3 Se 0.0000 0.0000 0.5000  -0.02
4 Se 0.5000 0.0000 0.0000  -0.01
5 Cl 0.0000 0.0000 0.0000  -0.01

---

Record 2
Density functional theory data (GGA-PBE) for Pm6Pd8Au after structural relaxation.

The value obtained for the energy is -5.5173 eV per atom. As for the energy of formation: -0.6291 eV/atom.

Cell lengths 8.4548, 8.4548, 7.5972 Å; angles 56.19, 56.19, 60.00 degrees
Sites, in units of the cell vectors:
1 Pm 0.3891 0.1357 0.7896
2 Pm 0.8643 0.3144 0.2104
3 Pm 0.3144 0.6109 0.2104
4 Pm 0.6856 0.3891 0.7896
5 Pm 0.1357 0.6856 0.7896
6 Pm 0.6109 0.8643 0.2104
7 Pd 0.5582 0.1832 0.3078
8 Pd 0.8168 0.0492 0.6922
9 Pd 0.0492 0.4418 0.6922
10 Pd 0.7059 0.7059 0.8824
11 Pd 0.2941 0.2941 0.1176
12 Pd 0.9508 0.5582 0.3078
13 Pd 0.1832 0.9508 0.3078
14 Pd 0.4418 0.8168 0.6922
15 Au 0.0000 0.0000 0.0000

---

Record 3
Density functional theory data (GGA-PBE) for Cd2ReOs after structural relaxation.

The value obtained for the energy is -5.5326 eV per atom. Its energy above the most stable polymorph in this dataset is 634.9 meV/atom. As for the energy of formation: 0.8444 eV/atom.

Cell lengths 5.3506, 5.3506, 5.3506 Å; angles 137.57, 137.57, 61.56 degrees
Sites, in units of the cell vectors:
1 Re 0.7500 0.2500 0.5000
2 Os 0.2500 0.7500 0.5000
3 Cd 0.0000 0.0000 0.0000
4 Cd 0.5000 0.5000 0.0000